# CaReB | Alexandria | GGA-PBE | optimized geometry
# **Fermi-level density of states**: 3.13 states/eV per cell
# **SG**: No. 129
# **Raw total energy**: -42.69 eV per cell
# **Calculated volume**: 134.8 Å³/cell
data_CaReB
_chemical_formula_sum 'Ca2 Re2 B2'
_cell_length_a 4.038
_cell_length_b 4.038
_cell_length_c 8.266
_cell_angle_alpha 90.00
_cell_angle_beta 90.00
_cell_angle_gamma 90.00
_space_group_name_H-M_alt 'P 1'
_space_group_IT_number 1
loop_
_space_group_symop_operation_xyz
'x,y,z'
loop_
_atom_site_label
_atom_site_type_symbol
_atom_site_fract_x
_atom_site_fract_y
_atom_site_fract_z
Ca1 Ca 0.250 0.250 0.203
Ca2 Ca 0.750 0.750 0.797
Re1 Re 0.250 0.750 0.500
Re2 Re 0.750 0.250 0.500
B1 B 0.250 0.250 0.585
B2 B 0.750 0.750 0.415